Entry 1:
The following is a DFT calculation (PBE-GGA) of an optimized crystal structure of ZnPtSe.

Summary:
magnetization = 0.00 μB/cell
ΔE to the lowest computed polymorph = 0.000 eV per atom
E_form (uncorrected) = -0.234 eV/atom

Geometry as extended XYZ:
```
3
Lattice="0.000 3.048 3.048 3.048 0.000 3.048 3.048 3.048 0.000" Properties=species:S:1:pos:R:3 pbc="T T T"
Zn 0.000 0.000 0.000
Pt 1.524 1.524 1.524
Se 3.048 3.048 3.048
```

---

Entry 2:
The following is a DFT calculation (PBE-GGA) of an optimized crystal structure of Dy2HoTi.

Summary:
DFT formation energy = 195 meV per atom
magnetization = 0.00 μB/cell
ΔE to the lowest computed polymorph = 0.032 eV per atom

Geometry as extended XYZ:
```
4
Lattice="1.706 0.985 10.861 -1.706 0.985 10.861 0.000 -1.970 10.861" Properties=species:S:1:pos:R:3 pbc="T T T"
Dy 0.000 0.000 0.000
Dy 0.000 0.000 5.920
Ho 0.000 0.000 13.813
Ti 0.000 0.000 19.241
```

---

Entry 3:
The following is a DFT calculation (PBE-GGA) of an optimized crystal structure of Fe2NiPIr.

Summary:
DFT formation energy = 617 meV per atom
magnetization = 0.00 μB/cell
ΔE to the lowest computed polymorph = 0.000 eV per atom

Geometry as extended XYZ:
```
5
Lattice="4.040 0.000 0.000 0.000 4.040 0.000 0.000 0.000 4.088" Properties=species:S:1:pos:R:3 pbc="T T T"
Fe 0.000 2.020 0.000
Fe 2.020 0.000 0.000
Ni 0.000 0.000 2.044
P 0.000 0.000 0.000
Ir 2.020 2.020 2.044
```

---

Entry 4:
The following is a DFT calculation (PBE-GGA) of an optimized crystal structure of Pm7DyY4.

Summary:
DFT formation energy = 253 meV per atom
magnetization = 0.00 μB/cell
ΔE to the lowest computed polymorph = 0.250 eV per atom

Geometry as extended XYZ:
```
12
Lattice="6.046 -3.015 0.000 6.046 3.015 0.000 -5.930 0.000 11.315" Properties=species:S:1:pos:R:3 pbc="T T T"
Pm 0.000 0.000 0.000
Pm -2.912 0.000 10.432
Pm -1.096 0.000 7.706
Pm 1.507 0.000 5.666
Pm 4.656 0.000 5.650
Pm 7.258 0.000 3.609
Pm 9.074 0.000 0.883
Dy 6.046 0.000 0.000
Y -1.140 0.000 3.626
Y 3.089 0.000 2.531
Y 3.074 0.000 8.784
Y 7.302 0.000 7.689
```

---

Entry 5:
The following is a DFT calculation (PBE-GGA) of an optimized crystal structure of HfSbAs.

Summary:
magnetization = 0.00 μB/cell
ΔE to the lowest computed polymorph = 0.000 eV per atom
E_form (uncorrected) = -0.585 eV/atom

Geometry as extended XYZ:
```
6
Lattice="3.907 0.000 0.000 0.000 3.907 0.000 0.000 0.000 8.421" Properties=species:S:1:pos:R:3 pbc="T T T"
Hf 0.977 0.977 2.086
Hf 2.930 2.930 6.335
Sb 0.977 0.977 5.180
Sb 2.930 2.930 3.240
As 0.977 2.930 0.000
As 2.930 0.977 0.000
```

---

Entry 6:
The following is a DFT calculation (PBE-GGA) of an optimized crystal structure of KHgAs4.

Summary:
DFT formation energy = -41 meV per atom
magnetization = 0.00 μB/cell

Geometry as extended XYZ:
```
6
Lattice="0.000 4.374 4.374 4.374 0.000 4.374 4.374 4.374 0.000" Properties=species:S:1:pos:R:3 pbc="T T T"
K 0.000 0.000 0.000
Hg 2.187 2.187 2.187
As 5.276 3.471 3.471
As 3.471 5.276 3.471
As 3.471 3.471 5.276
As 5.276 5.276 5.276
```

---

Entry 7:
The following is a DFT calculation (PBE-GGA) of an optimized crystal structure of CdAsAuBr2.

Summary:
magnetization = 1.27 μB/cell
ΔE to the lowest computed polymorph = 0.000 eV per atom
E_form (uncorrected) = 0.307 eV/atom

Geometry as extended XYZ:
```
5
Lattice="5.345 0.000 0.000 0.000 5.345 0.000 0.000 0.000 5.185" Properties=species:S:1:pos:R:3 pbc="T T T"
Cd 0.000 0.000 0.000
As 2.672 2.672 0.000
Au 2.672 2.672 2.592
Br 0.000 2.672 2.592
Br 2.672 0.000 2.592
```

---

Entry 8:
The following is a DFT calculation (PBE-GGA) of an optimized crystal structure of Ba3Ga2Hg2Au4.

Summary:
DFT formation energy = -495 meV per atom
magnetization = 0.00 μB/cell

Geometry as extended XYZ:
```
11
Lattice="4.752 0.000 0.000 -2.376 4.116 0.000 0.000 0.000 16.767" Properties=species:S:1:pos:R:3 pbc="T T T"
Ba 0.000 0.000 0.000
Ba 0.000 0.000 4.559
Ba 0.000 0.000 12.208
Ga 0.000 2.744 2.250
Ga 2.376 1.372 14.517
Hg 0.000 2.744 9.462
Hg 2.376 1.372 7.304
Au 0.000 2.744 6.445
Au 0.000 2.744 14.501
Au 2.376 1.372 2.266
Au 2.376 1.372 10.321
```

---

Entry 9:
The following is a DFT calculation (PBE-GGA) of an optimized crystal structure of OsBr4.

Summary:
magnetization = 4.62 μB/cell
ΔE to the lowest computed polymorph = 1.052 eV per atom
E_form (uncorrected) = 0.973 eV/atom

Geometry as extended XYZ:
```
5
Lattice="-3.303 3.303 4.152 3.303 -3.303 4.152 3.303 3.303 -4.152" Properties=species:S:1:pos:R:3 pbc="T T T"
Os 0.000 0.000 0.000
Br 3.303 0.000 2.076
Br 0.000 0.000 2.341
Br 0.000 0.000 5.962
Br 0.000 3.303 2.076
```

---

Entry 10:
The following is a DFT calculation (PBE-GGA) of an optimized crystal structure of NaFeAuBr2.

Summary:
magnetization = 3.70 μB/cell
E_form (uncorrected) = -0.266 eV/atom

Geometry as extended XYZ:
```
5
Lattice="5.126 0.000 0.000 0.000 5.126 0.000 0.000 0.000 5.093" Properties=species:S:1:pos:R:3 pbc="T T T"
Na 0.000 0.000 0.000
Fe 2.563 2.563 2.547
Au 2.563 2.563 0.000
Br 0.000 2.563 2.547
Br 2.563 0.000 2.547
```

---

Entry 11:
The following is a DFT calculation (PBE-GGA) of an optimized crystal structure of ZnSiIr2.

Summary:
magnetization = 0.00 μB/cell
E_form (uncorrected) = 0.001 eV/atom

Geometry as extended XYZ:
```
4
Lattice="2.811 0.000 0.000 0.000 2.811 0.000 0.000 0.000 7.484" Properties=species:S:1:pos:R:3 pbc="T T T"
Zn 0.000 0.000 0.000
Si 1.406 1.406 5.275
Ir 0.000 0.000 3.768
Ir 1.406 1.406 1.776
```

---

Entry 12:
The following is a DFT calculation (PBE-GGA) of an optimized crystal structure of NdMnCl.

Summary:
magnetization = 0.00 μB/cell
E_form (uncorrected) = -0.718 eV/atom

Geometry as extended XYZ:
```
12
Lattice="22.845 0.000 0.000 0.000 3.525 0.000 0.000 0.000 3.492" Properties=species:S:1:pos:R:3 pbc="T T T"
Nd 2.452 0.881 0.854
Nd 8.970 2.644 2.600
Nd 13.874 0.881 0.892
Nd 20.393 2.644 2.638
Mn 0.006 0.881 2.832
Mn 22.838 2.644 0.660
Mn 11.429 0.881 2.406
Mn 11.416 2.644 1.086
Cl 4.005 2.644 2.614
Cl 7.417 0.881 0.868
Cl 15.428 2.644 2.624
Cl 18.839 0.881 0.878
```